Record 1
Sr2LiPmTe4: relaxed, PBE-GGA.

The space group is P2/m (No. 10) and the conventional cell measures 7.916, 4.610 and 7.931 Å, with angles of 90.00, 108.99 and 90.00 degrees. Symmetry generates all atoms from Sr at (0.000, 0.000, 0.000), Sr at (0.500, 0.500, 0.000), Li at (0.000, 0.500, 0.500), Pm at (0.500, 0.000, 0.500), Te at (0.244, 0.000, 0.731) and Te at (0.253, 0.500, 0.269).

The calculated volume comes out at 273.63 Å³ per cell. The value obtained for the theoretical density is 5.1 Mg/m³. For the total energy, the calculation gives -34.5 eV per cell.



Record 2
Sr3LiPm2Te6: relaxed, PBE-GGA.

The space group is C2/m (No. 12) and the conventional cell measures 7.927, 13.721 and 7.978 Å, with angles of 90.00, 109.41 and 90.00 degrees. Symmetry generates all atoms from Sr at (0.000, 0.000, 0.000), Sr at (0.000, 0.332, 0.000), Li at (0.000, 0.500, 0.500), Pm at (0.000, 0.166, 0.500), Te at (0.242, 0.335, 0.732) and Te at (0.248, 0.000, 0.734).

The calculated volume comes out at 818.40 Å³ per cell. The value obtained for the theoretical density is 5.4 Mg/m³. For the total energy, the calculation gives -107.1 eV per cell.



Record 3
Sr3LiPm3Te8: relaxed, PBE-GGA.

The space group is R-3m (No. 166, hexagonal axes) and the conventional cell measures 9.0841, 9.0841 and 22.8468 Å, with angles of 90.00, 90.00 and 120.00 degrees. Symmetry generates all atoms from Sr at (0.0000, 0.5000, 0.0000), Li at (0.0000, 0.0000, 0.5000), Pm at (0.0000, 0.5000, 0.5000), Te at (0.0000, 0.0000, 0.2456) and Te at (0.0001, 0.5000, 0.2432).

The calculated volume comes out at 1632.74 Å³ per cell. The value obtained for the theoretical density is 5.3 Mg/m³. For the total energy, the calculation gives -204.3 eV per cell.



Record 4
SrLi2Pm2Tl2: relaxed, PBE-GGA.

The space group is R-3m (No. 166, hexagonal axes) and the conventional cell measures 4.9777, 4.9777 and 28.9284 Å, with angles of 90.00, 90.00 and 120.00 degrees. Symmetry generates all atoms from Sr at (0.0000, 0.0000, 0.0000), Li at (0.0000, 0.0000, 0.4073), Pm at (0.0000, 0.0000, 0.1296) and Tl at (0.0000, 0.0000, 0.2533).

The formation energy is -19.4 kJ per mole of atoms. The calculated volume comes out at 620.73 Å³ per cell. The value obtained for the theoretical density is 6.4 Mg/m³.



Question: Which of these has the highest calculated volume?
Answer: Sr3LiPm3Te8